Entry 1:
A geometry-optimized DyCdBO4 structure. Source: Alexandria via LeMat-Bulk, functional GGA-PBE.

a b c (Å): 5.8336 6.0482 6.0482
angles (deg): 64.42 61.17 61.17
Last column: nearest neighbours and their distance in Å.
Fractional coordinates of all 14 atoms:
Dy1 0.0000 0.0000 0.0000  6 O 2.29
Dy2 0.0000 0.5000 0.5000  6 O 2.29
Cd1 0.5000 0.0000 0.5000  6 O 2.25-2.48
Cd2 0.0000 0.0000 0.5000  6 O 2.25-2.48
B1 0.6276 0.6224 0.1224  4 O 1.51-1.59
B2 0.3724 0.3776 0.8776  4 O 1.51-1.59
O1 0.7315 0.7092 0.8278  1 B 1.51
O2 0.2685 0.6722 0.7908  1 B 1.51
O3 0.7315 0.3278 0.2092  1 B 1.51
O4 0.2685 0.2908 0.1722  1 B 1.51
O5 0.2959 0.7329 0.2329  1 B 1.59
O6 0.7383 0.7329 0.2329  1 B 1.59
O7 0.2617 0.2671 0.7671  1 B 1.59
O8 0.7041 0.2671 0.7671  1 B 1.59

Computed properties:
crystal system: orthorhombic
SG: No. 74
uncorrected energy: -6.598 eV/atom
raw formation energy: -14.2 eV per formula unit

Entry 2:
A geometry-optimized La2Pm7Er2 structure. Source: Alexandria via LeMat-Bulk, functional GGA-PBE.

a b c (Å): 13.7019 10.4678 10.4679
angles (deg): 98.29 129.09 129.09
Last column: nearest neighbours and their distance in Å.
Fractional coordinates of all 11 atoms:
La1 0.5000 0.3223 0.6777  4 Pm 3.36-3.44, 2 La 3.68
La2 0.5000 0.6777 0.3223  4 Pm 3.36-3.44, 2 La 3.68
Pm1 0.1682 0.3340 0.6927  1 Er 3.26, 1 La 3.44, 1 Pm 3.57
Pm2 0.8318 0.3073 0.6659  1 Er 3.26, 1 La 3.44, 1 Pm 3.57
Pm3 0.8318 0.6660 0.3073  1 Er 3.26, 1 La 3.44, 1 Pm 3.57
Pm4 0.1682 0.6927 0.3341  1 Er 3.26, 1 La 3.44, 1 Pm 3.57
Pm5 0.5048 0.7086 0.7086  1 Er 3.05, 1 Pm 3.13
Pm6 0.0000 0.0000 0.0000  2 Pm 3.13, 4 La 3.36
Pm7 0.4952 0.2914 0.2914  1 Er 3.05, 1 Pm 3.13
Er1 0.2332 0.8271 0.8271  2 Er 3.02-3.28, 3 Pm 3.05-3.26
Er2 0.7668 0.1729 0.1729  2 Er 3.02-3.28, 3 Pm 3.05-3.26

Computed properties:
crystal system: monoclinic
distance to the lowest polymorph of the same formula: 0.171 eV/atom
SG: No. 12
uncorrected energy: -4.407 eV/atom
energy of formation: 7.9 kcal/mol of atoms

- Look up the uncorrected energy of the second one.
  -4.407 eV/atom

- What is the uncorrected energy in the second record?
  -4.407 eV/atom